A geometry-optimized KCuH structure, computed with PBE.

As for the offset from the most stable computed form: 106 meV per atom.

Lattice parameters (Å, degrees): 6.3344 6.3344 7.0767 90.00 90.00 120.00
Last column: nearest neighbours and their distance in Å.
Atoms (fractional coordinates):
H: 0.8370 0.5310 0.5047  2 Cu 1.62-1.64
H: 0.6940 0.1630 0.8380  2 Cu 1.62-1.64
H: 0.4690 0.3060 0.1713  2 Cu 1.62-1.64
K: 0.6656 0.8472 0.1687  2 H 3.01-3.03, 2 Cu 3.32-3.33
K: 0.1528 0.8184 0.8354  2 H 3.01-3.03, 2 Cu 3.32-3.33
K: 0.1816 0.3344 0.5021  2 H 3.01-3.03, 2 Cu 3.32-3.33
Cu: 0.6797 0.3171 0.6599  2 H 1.62-1.64
Cu: 0.6374 0.3203 0.9933  2 H 1.62-1.64
Cu: 0.6829 0.3626 0.3266  2 H 1.62-1.64